The following is a GGA-PBE calculation of crystalline CaPrGaPt at its relaxed geometry, from Alexandria via LeMat-Bulk.

As for the raw total energy: -18.68 eV per formula unit. The magnetic moment comes out at 0.00 μB per formula unit. The calculation puts the distance to the lowest polymorph of the same formula at 71.3 meV per atom. Its formation energy is -0.708 eV per atom.

The space group is F-43m (No. 216) and the conventional cell measures 7.260, 7.260 and 7.260 Å, with angles of 90.00, 90.00 and 90.00 degrees. Symmetry generates all atoms from Ca at (0.000, 0.000, 0.000), Pr at (0.000, 0.000, 0.500), Ga at (0.250, 0.250, 0.750) and Pt at (0.250, 0.250, 0.250).


The following is a GGA-PBE calculation of crystalline CaPrGaPt at its relaxed geometry, from Alexandria via LeMat-Bulk.

As for the raw total energy: -18.97 eV per formula unit. The magnetic moment comes out at 0.00 μB per formula unit. The calculation puts the distance to the lowest polymorph of the same formula at 0.0 meV per atom. Its formation energy is -0.779 eV per atom.

The space group is Amm2 (No. 38) and the conventional cell measures 4.342, 4.091 and 11.373 Å, with angles of 90.00, 90.00 and 90.00 degrees. Symmetry generates all atoms from Ca at (0.000, 0.000, 0.000), Pr at (0.500, 0.000, 0.287), Ga at (0.500, 0.000, 0.574) and Pt at (0.000, 0.000, 0.714).


The following is a GGA-PBE calculation of crystalline CaPr2Ga3Pt4 at its relaxed geometry, from Alexandria via LeMat-Bulk.

As for the raw total energy: -53.87 eV per formula unit. The magnetic moment comes out at 0.00 μB per formula unit. Its formation energy is -0.907 eV per atom.

The space group is P-4m2 (No. 115) and the conventional cell measures 4.229, 4.229 and 11.662 Å, with angles of 90.00, 90.00 and 90.00 degrees. Symmetry generates all atoms from Ca at (0.000, 0.000, 0.000), Pr at (0.000, 0.500, 0.729), Ga at (0.000, 0.500, 0.377), Ga at (0.500, 0.500, 0.000), Pt at (0.000, 0.000, 0.500), Pt at (0.000, 0.500, 0.161) and Pt at (0.500, 0.500, 0.500).


The following is a GGA-PBE calculation of crystalline Ca2Pr2GaRh4 at its relaxed geometry, from Alexandria via LeMat-Bulk.

As for the raw total energy: -48.77 eV per formula unit. The magnetic moment comes out at 0.00 μB per formula unit. Its formation energy is -0.308 eV per atom.

The space group is I4/mmm (No. 139) and the conventional cell measures 6.668, 6.668 and 9.072 Å, with angles of 90.00, 90.00 and 90.00 degrees. Symmetry generates all atoms from Ca at (0.000, 0.500, 0.250), Pr at (0.000, 0.000, 0.187), Ga at (0.000, 0.000, 0.500) and Rh at (0.241, 0.241, 0.000).


The following is a GGA-PBE calculation of crystalline CaPrGaRh at its relaxed geometry, from Alexandria via LeMat-Bulk.

As for the raw total energy: -19.02 eV per formula unit. The magnetic moment comes out at 0.00 μB per formula unit. The calculation puts the distance to the lowest polymorph of the same formula at 116.6 meV per atom. Its formation energy is -0.464 eV per atom.

The space group is F-43m (No. 216) and the conventional cell measures 7.182, 7.182 and 7.182 Å, with angles of 90.00, 90.00 and 90.00 degrees. Symmetry generates all atoms from Ca at (0.000, 0.000, 0.000), Pr at (0.000, 0.000, 0.500), Ga at (0.250, 0.250, 0.750) and Rh at (0.250, 0.250, 0.250).


The following is a GGA-PBE calculation of crystalline CaPrGaRh at its relaxed geometry, from Alexandria via LeMat-Bulk.

As for the raw total energy: -19.48 eV per formula unit. The magnetic moment comes out at 0.00 μB per formula unit. The calculation puts the distance to the lowest polymorph of the same formula at 0.0 meV per atom. Its formation energy is -0.581 eV per atom.

The space group is Amm2 (No. 38) and the conventional cell measures 4.095, 4.195 and 11.555 Å, with angles of 90.00, 90.00 and 90.00 degrees. Symmetry generates all atoms from Ca at (0.000, 0.000, 0.000), Pr at (0.500, 0.000, 0.286), Ga at (0.500, 0.000, 0.581) and Rh at (0.000, 0.000, 0.719).


The following is a GGA-PBE calculation of crystalline CaPr2Ga3Rh4 at its relaxed geometry, from Alexandria via LeMat-Bulk.

As for the raw total energy: -57.01 eV per formula unit. The magnetic moment comes out at 0.00 μB per formula unit. Its formation energy is -0.697 eV per atom.

The space group is P-4m2 (No. 115) and the conventional cell measures 4.306, 4.306 and 10.858 Å, with angles of 90.00, 90.00 and 90.00 degrees. Symmetry generates all atoms from Ca at (0.000, 0.000, 0.000), Pr at (0.000, 0.500, 0.726), Ga at (0.000, 0.500, 0.385), Ga at (0.500, 0.500, 0.000), Rh at (0.000, 0.000, 0.500), Rh at (0.000, 0.500, 0.155) and Rh at (0.500, 0.500, 0.500).


The following is a GGA-PBE calculation of crystalline CaPrGaRu at its relaxed geometry, from Alexandria via LeMat-Bulk.

As for the raw total energy: -19.63 eV per formula unit. The magnetic moment comes out at 0.00 μB per formula unit. Its formation energy is -0.136 eV per atom.

The space group is F-43m (No. 216) and the conventional cell measures 7.156, 7.156 and 7.156 Å, with angles of 90.00, 90.00 and 90.00 degrees. Symmetry generates all atoms from Ca at (0.000, 0.000, 0.000), Pr at (0.000, 0.000, 0.500), Ga at (0.250, 0.250, 0.750) and Ru at (0.250, 0.250, 0.250).